{
  "formula": "RbTbCrF6",
  "functional": "GGA+U",
  "state": "relaxed",
  "cell": [[-1.1619, 4.8562, -6.4669], [2.8244, -5.9294, -4.9600], [-5.9197, -1.4218, 5.1570]],
  "species": ["Rb", "F", "Rb", "F", "Cr", "F", "F", "F", "F", "F", "F", "Cr", "Tb", "Tb", "F", "F", "F", "F"],
  "fractional_positions": [[0.8257, 0.5757, 0.6513], [0.4154, 0.6654, 0.8308], [0.1743, 0.4243, 0.3487], [0.5846, 0.3346, 0.1692], [0.5000, 0.5000, 0.0000], [0.8075, 0.6800, 0.2536], [0.1925, 0.9264, 0.7464], [0.5539, 0.3200, 0.7464], [0.8313, 0.0813, 0.6626], [0.1687, 0.9187, 0.3374], [0.8075, 0.0736, 0.2536], [0.5000, 0.0000, 0.0000], [0.0000, 0.0000, 0.5000], [0.5000, 0.0000, 0.5000], [0.4461, 0.0736, 0.2536], [0.5539, 0.9264, 0.7464], [0.1925, 0.3200, 0.7464], [0.4461, 0.6800, 0.2536]],
  "spacegroup": "No. 74",
  "volume_a3_per_fu": 184,
  "total_energy_ev_per_atom": -5.9574
}